No. 1
PuPaCrNi | PBE | optimized geometry

```
PuPaCrNi
1.0
4.5970 0.0000 0.0000
2.2985 3.9811 0.0000
2.2985 1.3270 3.7534
Cr Pu Pa Ni
1 1 1 1
Direct
0.5000 0.5000 0.5000
0.0000 0.0000 0.0000
0.2500 0.2500 0.2500
0.7500 0.7500 0.7500
```

Properties
The formation energy comes out at -58 meV per atom.

***

No. 2
CrNiPb2 | PBE | optimized geometry

```
CrNiPb2
1.0
-1.9238 -4.9189 -2.0246
-2.2339 -3.7166 3.6320
-0.5338 5.5021 -1.1987
Pb Ni Cr
2 1 1
Direct
0.0000 0.0000 0.0000
0.2500 0.7500 0.5000
0.7500 0.2500 0.5000
0.5000 0.5000 0.0000
```

Properties
The formation energy comes out at 521 meV per atom. The distance to the lowest polymorph of the same formula is 194 meV/atom.